Record 1
Material: LiHoPaS4
Method: DFT, PBE
State: optimized geometry

abc: 8.031 7.951 7.877
angles: 119.69 90.00 120.34
Last column: magnetic moment on the atom in μB.
Atoms (fractional coordinates):
Pa: 0.000 0.500 0.500  0.90
Pa: 0.500 0.500 0.500  0.90
S: 0.744 0.487 0.730  -0.02
S: 0.256 0.513 0.270  -0.02
S: 0.745 0.018 0.259  -0.01
S: 0.273 0.018 0.259  -0.01
S: 0.256 0.513 0.743  -0.02
S: 0.255 0.982 0.741  -0.01
S: 0.727 0.982 0.741  -0.01
S: 0.744 0.487 0.257  -0.02
Li: 0.118 0.236 0.868  0.00
Li: 0.882 0.764 0.132  0.00
Ho: 0.500 0.000 0.500  0.05
Ho: 0.500 0.000 0.000  0.05

Calculated values
The calculation puts the raw total energy at -6.361 eV per atom. Its volume is 25.39 Å³ per atom. The calculation puts the spin magnetization at 2.0 μB/cell.

Record 2
Material: LiHo3Pa3Se8
Method: DFT, PBE
State: optimized geometry

abc: 8.026 8.027 8.167
angles: 119.44 90.00 120.01
Last column: magnetic moment on the atom in μB.
Atoms (fractional coordinates):
Se: 0.755 0.002 0.750  -0.01
Se: 0.247 0.495 0.242  -0.01
Se: 0.753 0.505 0.758  -0.01
Se: 0.752 0.504 0.250  -0.01
Se: 0.248 0.496 0.750  -0.01
Se: 0.752 0.998 0.250  -0.01
Se: 0.245 0.998 0.250  -0.01
Se: 0.248 0.002 0.750  -0.01
Li: 0.000 0.000 0.500  0.00
Pa: 0.500 0.500 0.500  1.07
Pa: 0.000 0.500 0.500  1.08
Pa: 0.500 0.000 0.500  1.07
Ho: 0.000 0.500 0.000  -0.02
Ho: 0.500 0.500 0.000  -0.02
Ho: 0.000 0.000 0.000  -0.02

Calculated values
The calculation puts the raw total energy at -6.304 eV per atom. Its volume is 25.01 Å³ per atom. The calculation puts the spin magnetization at 3.9 μB/cell.

Record 3
Material: LiHoPa2Se4
Method: DFT, PBE
State: optimized geometry

abc: 3.873 6.680 7.474
angles: 107.31 90.00 90.00
Last column: magnetic moment on the atom in μB.
Atoms (fractional coordinates):
Pa: 0.000 0.500 0.500  1.08
Pa: 0.500 0.000 0.500  0.82
Se: 0.500 0.237 0.232  -0.01
Se: 0.000 0.245 0.765  -0.01
Se: 0.000 0.755 0.235  -0.01
Se: 0.500 0.763 0.768  -0.01
Li: 0.000 0.000 0.000  0.00
Ho: 0.500 0.500 0.000  -0.01

Calculated values
The calculation puts the raw total energy at -6.311 eV per atom. Its volume is 23.08 Å³ per atom. The calculation puts the spin magnetization at 2.3 μB/cell.

Record 4
Material: Li3Ho3PaSe8
Method: DFT, PBE
State: optimized geometry

abc: 8.165 8.164 8.030
angles: 120.59 90.00 120.01
Last column: magnetic moment on the atom in μB.
Atoms (fractional coordinates):
Ho: 0.000 0.500 0.500  0.02
Ho: 0.500 0.500 0.500  0.02
Ho: 0.500 0.000 0.500  0.02
Pa: 0.000 0.000 0.500  0.90
Se: 0.751 0.000 0.749  -0.01
Se: 0.249 0.499 0.749  -0.01
Se: 0.751 0.501 0.251  -0.01
Se: 0.751 0.000 0.251  -0.01
Se: 0.249 0.499 0.248  0.00
Se: 0.751 0.501 0.752  0.00
Se: 0.249 0.000 0.749  -0.01
Se: 0.249 0.000 0.251  -0.01
Li: 0.000 0.500 0.000  0.00
Li: 0.500 0.500 0.000  0.00
Li: 0.000 0.000 0.000  0.00

Calculated values
The calculation puts the raw total energy at -5.399 eV per atom. Its volume is 25.00 Å³ per atom. The calculation puts the spin magnetization at 1.0 μB/cell.

Record 5
Material: Li2HoPaSe4
Method: DFT, PBE
State: optimized geometry

abc: 3.992 7.024 6.978
angles: 109.25 90.00 90.00
Last column: magnetic moment on the atom in μB.
Atoms (fractional coordinates):
Se: 0.500 0.749 0.744  -0.01
Se: 0.500 0.251 0.256  -0.01
Se: 0.000 0.242 0.738  -0.02
Se: 0.000 0.758 0.262  -0.02
Ho: 0.000 0.000 0.000  0.14
Li: 0.500 0.000 0.500  0.00
Li: 0.000 0.500 0.500  0.00
Pa: 0.500 0.500 0.000  1.33

Calculated values
The calculation puts the raw total energy at -5.441 eV per atom. Its volume is 23.09 Å³ per atom. The calculation puts the spin magnetization at 1.8 μB/cell.

Record 6
Material: Li3Ho2PaSe6
Method: DFT, PBE
State: optimized geometry

abc: 6.993 6.993 6.940
angles: 99.67 99.67 120.00
Last column: magnetic moment on the atom in μB.
Atoms (fractional coordinates):
Se: 0.248 0.248 0.743  -0.01
Se: 0.086 0.420 0.257  -0.01
Se: 0.420 0.086 0.257  -0.01
Se: 0.752 0.752 0.257  -0.01
Se: 0.580 0.914 0.743  -0.01
Se: 0.914 0.580 0.743  -0.01
Li: 0.500 0.500 0.500  0.00
Li: 0.168 0.832 0.500  0.00
Li: 0.832 0.168 0.500  0.00
Pa: 0.000 0.000 0.000  1.16
Ho: 0.333 0.667 0.000  0.11
Ho: 0.667 0.333 0.000  0.11

Calculated values
The calculation puts the raw total energy at -5.304 eV per atom. Its volume is 23.07 Å³ per atom. The calculation puts the spin magnetization at 1.6 μB/cell.

Record 7
Material: LiHoPaSe4
Method: DFT, PBE
State: optimized geometry

abc: 8.384 8.289 8.229
angles: 119.76 90.00 120.38
Last column: magnetic moment on the atom in μB.
Atoms (fractional coordinates):
Li: 0.118 0.235 0.868  0.00
Li: 0.882 0.765 0.132  0.00
Se: 0.256 0.987 0.743  -0.01
Se: 0.745 0.491 0.735  -0.02
Se: 0.745 0.491 0.256  -0.02
Se: 0.269 0.013 0.257  -0.01
Se: 0.731 0.987 0.743  -0.01
Se: 0.255 0.509 0.744  -0.02
Se: 0.255 0.509 0.265  -0.02
Se: 0.744 0.013 0.257  -0.01
Pa: 0.000 0.500 0.500  0.97
Pa: 0.500 0.500 0.500  0.97
Ho: 0.500 0.000 0.500  0.02
Ho: 0.500 0.000 0.000  0.02

Calculated values
The calculation puts the raw total energy at -5.803 eV per atom. Its volume is 28.82 Å³ per atom. The calculation puts the spin magnetization at 2.0 μB/cell.

Record 8
Material: Li4HoPa3Te8
Method: DFT, PBE
State: optimized geometry

abc: 8.492 8.776 8.491
angles: 118.94 120.00 90.00
Last column: magnetic moment on the atom in μB.
Atoms (fractional coordinates):
Li: 0.000 0.000 0.500  0.00
Li: 0.500 0.000 0.500  0.00
Li: 0.500 0.000 0.000  0.00
Li: 0.000 0.000 0.000  0.00
Te: 0.757 0.761 0.009  -0.02
Te: 0.252 0.761 0.009  -0.02
Te: 0.755 0.766 0.511  -0.03
Te: 0.748 0.239 0.496  -0.02
Te: 0.245 0.234 0.489  -0.03
Te: 0.243 0.239 0.991  -0.02
Te: 0.748 0.239 0.991  -0.02
Te: 0.252 0.761 0.504  -0.02
Ho: 0.000 0.500 0.000  0.14
Pa: 0.500 0.500 0.000  1.43
Pa: 0.500 0.500 0.500  1.43
Pa: 0.000 0.500 0.500  1.43

Calculated values
The calculation puts the raw total energy at -5.058 eV per atom. Its volume is 28.41 Å³ per atom. The calculation puts the spin magnetization at 5.5 μB/cell.

Record 9
Material: Li5HoPb6
Method: DFT, PBE
State: optimized geometry

abc: 5.155 7.110 8.096
angles: 90.00 73.91 90.00
Atoms (fractional coordinates):
Pb: 0.799 0.747 0.348
Pb: 0.500 0.729 0.000
Pb: 0.201 0.253 0.652
Pb: 0.500 0.271 0.000
Pb: 0.799 0.253 0.348
Pb: 0.201 0.747 0.652
Li: 0.000 0.500 0.000
Li: 0.290 0.500 0.339
Li: 0.680 0.000 0.679
Li: 0.320 0.000 0.321
Li: 0.710 0.500 0.661
Ho: 0.000 0.000 0.000

Calculated values
The calculation puts the raw total energy at -3.333 eV per atom. Its volume is 23.76 Å³ per atom. For the energy of formation from the pure elements, the calculation gives -300 meV/atom. The calculation puts the spin magnetization at 0.0 μB/cell.

Record 10
Material: LiHo3Pb4
Method: DFT, PBE
State: optimized geometry

abc: 4.911 4.911 9.545
angles: 104.90 104.87 89.97
Atoms (fractional coordinates):
Li: 0.500 0.000 0.000
Pb: 0.878 0.878 0.757
Pb: 0.622 0.621 0.243
Pb: 0.378 0.379 0.757
Pb: 0.122 0.122 0.243
Ho: 0.000 0.500 0.000
Ho: 0.754 0.254 0.508
Ho: 0.246 0.746 0.492

Calculated values
The calculation puts the raw total energy at -4.192 eV per atom. Its volume is 26.81 Å³ per atom. For the energy of formation from the pure elements, the calculation gives -382 meV/atom. The calculation puts the spin magnetization at 0.0 μB/cell.

Record 11
Material: LiHo2Pb4
Method: DFT, PBE
State: optimized geometry

abc: 6.059 6.669 10.155
angles: 90.00 109.30 90.00
Atoms (fractional coordinates):
Pb: 0.930 0.250 0.115
Pb: 0.384 0.992 0.722
Pb: 0.384 0.508 0.722
Pb: 0.616 0.492 0.278
Pb: 0.616 0.008 0.278
Pb: 0.112 0.750 0.418
Pb: 0.070 0.750 0.885
Pb: 0.888 0.250 0.582
Ho: 0.719 0.750 0.569
Ho: 0.347 0.250 0.991
Ho: 0.281 0.250 0.431
Ho: 0.653 0.750 0.009
Li: 0.776 0.250 0.829
Li: 0.224 0.750 0.171

Calculated values
The calculation puts the raw total energy at -3.931 eV per atom. Its volume is 27.66 Å³ per atom. For the energy of formation from the pure elements, the calculation gives -231 meV/atom. The calculation puts the spin magnetization at 0.0 μB/cell.

Record 12
Material: Li3HoPb2
Method: DFT, PBE
State: optimized geometry

abc: 4.700 7.622 8.732
angles: 65.81 74.39 72.04
Atoms (fractional coordinates):
Li: 0.729 0.090 0.451
Li: 0.271 0.910 0.549
Li: 0.402 0.515 0.682
Li: 0.950 0.715 0.385
Li: 0.598 0.485 0.318
Li: 0.050 0.285 0.615
Pb: 0.456 0.890 0.199
Pb: 0.789 0.688 0.734
Pb: 0.211 0.312 0.266
Pb: 0.544 0.110 0.801
Ho: 0.137 0.747 0.979
Ho: 0.863 0.253 0.021

Calculated values
The calculation puts the raw total energy at -3.289 eV per atom. Its volume is 22.31 Å³ per atom. For the energy of formation from the pure elements, the calculation gives -333 meV/atom. The calculation puts the spin magnetization at 0.0 μB/cell.

Question: What is the spin magnetization in the fifth record?
Answer: 1.8 μB/cell

Question: Which value of volume does entry 1 give?
Answer: 25.39 Å³ per atom